# 1
{"formula": "ZnInIr2", "functional": "PBEsol", "state": "optimized geometry", "spacegroup": "No. 123", "energy_ev_per_atom": -6.1589, "lattice_angstrom": [[3.108, 0.000, 0.000], [0.000, 3.108, 0.000], [0.000, 0.000, 6.195]], "species": ["Zn", "Ir", "Ir", "In"], "frac_coords": [[0.500, 0.500, 0.000], [0.000, 0.000, 0.768], [0.000, 0.000, 0.232], [0.500, 0.500, 0.500]]}

# 2
{"formula": "BaSr3Ca", "functional": "PBEsol", "state": "optimized geometry", "spacegroup": "No. 221", "energy_ev_per_atom": -1.3249, "lattice_angstrom": [[6.429, 0.000, 0.000], [0.000, 6.429, 0.000], [0.000, 0.000, 6.429]], "species": ["Ca", "Sr", "Ba", "Sr", "Sr"], "frac_coords": [[0.500, 0.500, 0.500], [0.000, 0.500, 0.000], [0.000, 0.000, 0.000], [0.000, 0.000, 0.500], [0.500, 0.000, 0.000]]}

# 3
{"formula": "YAg2Sb", "functional": "PBEsol", "state": "optimized geometry", "spacegroup": "No. 160", "raw_formation_energy_ev_per_atom": -0.3704, "lattice_angstrom": [[4.634, 0.000, 0.000], [2.317, 4.013, 0.000], [2.317, 1.338, 4.709]], "species": ["Sb", "Ag", "Y", "Ag"], "frac_coords": [[0.525, 0.525, 0.425], [0.980, 0.980, 0.060], [0.747, 0.747, 0.758], [0.246, 0.246, 0.261]]}

# 4
{"formula": "K3AlCo", "functional": "PBEsol", "state": "optimized geometry", "spacegroup": "No. 221", "energy_ev_per_atom": -1.9555, "lattice_angstrom": [[6.009, 0.000, 0.000], [0.000, 6.009, 0.000], [0.000, 0.000, 6.009]], "species": ["K", "K", "K", "Co", "Al"], "frac_coords": [[0.000, 0.500, 0.000], [0.000, 0.000, 0.500], [0.500, 0.000, 0.000], [0.000, 0.000, 0.000], [0.500, 0.500, 0.500]]}

# 5
{"formula": "ScTiGePb2", "functional": "PBEsol", "state": "optimized geometry", "spacegroup": "No. 123", "energy_ev_per_atom": -4.8800, "lattice_angstrom": [[4.993, 0.000, 0.000], [0.000, 5.345, 0.000], [0.000, 0.000, 5.345]], "species": ["Sc", "Pb", "Ti", "Pb", "Ge"], "frac_coords": [[0.500, 0.000, 0.000], [0.000, 0.500, 0.000], [0.500, 0.500, 0.500], [0.000, 0.000, 0.500], [0.000, 0.000, 0.000]]}

# 6
{"formula": "Ba3Ga2S6", "functional": "PBEsol", "state": "optimized geometry", "spacegroup": "No. 15", "raw_formation_energy_ev_per_atom": -1.5441, "lattice_angstrom": [[-5.775, -2.034, 5.851], [-2.524, -0.734, -8.051], [3.108, -8.424, -0.061]], "species": ["Ba", "Ga", "Ba", "Ga", "S", "S", "Ba", "S", "Ga", "S", "S", "Ba", "S", "S", "S", "S", "S", "S", "S", "Ba", "Ga", "Ba"], "frac_coords": [[0.038, 0.962, 0.750], [0.344, 0.020, 0.071], [0.962, 0.038, 0.250], [0.656, 0.980, 0.929], [0.633, 0.727, 0.830], [0.367, 0.273, 0.170], [0.544, 0.267, 0.491], [0.205, 0.922, 0.454], [0.020, 0.344, 0.571], [0.273, 0.367, 0.670], [0.727, 0.633, 0.330], [0.267, 0.544, 0.991], [0.083, 0.467, 0.331], [0.922, 0.205, 0.954], [0.795, 0.078, 0.546], [0.533, 0.917, 0.169], [0.078, 0.795, 0.046], [0.467, 0.083, 0.831], [0.917, 0.533, 0.669], [0.456, 0.733, 0.509], [0.980, 0.656, 0.429], [0.733, 0.456, 0.009]]}

# 7
{"formula": "InNi2H2", "functional": "PBEsol", "state": "optimized geometry", "spacegroup": "No. 139", "energy_ev_per_atom": -4.4906, "lattice_angstrom": [[3.188, 0.000, 0.000], [0.000, 3.188, 0.000], [-1.594, -1.594, 4.417]], "species": ["Ni", "Ni", "H", "H", "In"], "frac_coords": [[0.668, 0.668, 0.336], [0.332, 0.332, 0.664], [0.750, 0.250, 0.500], [0.250, 0.750, 0.500], [0.000, 0.000, 0.000]]}

# 8
{"formula": "TcAs2PdBr", "functional": "PBEsol", "state": "optimized geometry", "spacegroup": "No. 123", "raw_formation_energy_ev_per_atom": 0.6746, "lattice_angstrom": [[4.621, 0.000, 0.000], [0.000, 4.621, 0.000], [0.000, 0.000, 5.273]], "species": ["As", "Pd", "As", "Br", "Tc"], "frac_coords": [[0.000, 0.500, 0.000], [0.500, 0.500, 0.500], [0.500, 0.000, 0.000], [0.000, 0.000, 0.500], [0.000, 0.000, 0.000]]}